# 1
# PBE BaSrZn, optimized geometry
data_BaSrZn
_chemical_formula_sum 'Ba1 Sr1 Zn1'
_symmetry_space_group_name_H-M 'P 3 m 1'
_symmetry_Int_Tables_number 156
_cell_length_a 4.6452
_cell_length_b 4.6452
_cell_length_c 7.6366
_cell_angle_alpha 90.00
_cell_angle_beta 90.00
_cell_angle_gamma 120.00
loop_
_symmetry_equiv_pos_as_xyz
'x,y,z'
'-y,x-y,z'
'-x+y,-x,z'
'-y,-x,z'
'-x+y,y,z'
'x,x-y,z'
loop_
_atom_site_label
_atom_site_fract_x
_atom_site_fract_y
_atom_site_fract_z
Ba1 0.0000 0.0000 0.0000
Sr1 0.6667 0.3333 0.4914
Zn1 0.3333 0.6667 0.7298
# crystal system	trigonal

# 2
# PBE Ba2SrZn, optimized geometry
data_Ba2SrZn
_chemical_formula_sum 'Ba8 Sr4 Zn4'
_symmetry_space_group_name_H-M 'I -4 2 d'
_symmetry_Int_Tables_number 122
_symmetry_space_group_name_Hall 'I -4 2bw'
_cell_length_a 10.398
_cell_length_b 10.398
_cell_length_c 7.344
_cell_angle_alpha 90.00
_cell_angle_beta 90.00
_cell_angle_gamma 90.00
loop_
_atom_site_label
_atom_site_fract_x
_atom_site_fract_y
_atom_site_fract_z
Ba1 0.170 0.250 0.125
Sr1 0.000 0.000 0.500
Zn1 0.000 0.000 0.000
# crystal system	tetragonal

# 3
# PBE Ba2SrZn2, optimized geometry
data_Ba2SrZn2
_chemical_formula_sum 'Ba4 Sr2 Zn4'
_symmetry_space_group_name_H-M 'P 4/m b m'
_symmetry_Int_Tables_number 127
_symmetry_space_group_name_Hall '-P 4 2ab'
_cell_length_a 9.346
_cell_length_b 9.346
_cell_length_c 4.505
_cell_angle_alpha 90.00
_cell_angle_beta 90.00
_cell_angle_gamma 90.00
loop_
_atom_site_label
_atom_site_fract_x
_atom_site_fract_y
_atom_site_fract_z
Ba1 0.152 0.348 0.000
Sr1 0.000 0.000 0.500
Zn1 0.137 0.637 0.500
# crystal system	tetragonal

| no. | D(E_F) (states/eV/f.u.) | calculated total energy (eV per atom) |
| --- | --- | --- |
| 1 | 3.347 | -1.6431 |
| 2 | 5.882 | -1.6219 |
| 3 | 6.093 | -1.7251 |